{"formula": "Ca2CoPb2", "functional": "PBE-GGA", "state": "optimized geometry", "crystal_system": "tetragonal", "e_tot_ev_per_atom": -3.82, "ef_kj_per_mol_fu": -54.8, "volume_a3_per_atom": 26.41, "cell": [[7.2734, 0.0000, 0.0000], [0.0000, 7.2734, 0.0000], [0.0000, 0.0000, 4.9923]], "species": ["Pb", "Pb", "Pb", "Pb", "Ca", "Ca", "Ca", "Ca", "Co", "Co"], "fractional_positions": [[0.3480, 0.8480, 0.0000], [0.8480, 0.6520, 0.0000], [0.6520, 0.1520, 0.0000], [0.1520, 0.3480, 0.0000], [0.1665, 0.6665, 0.5000], [0.6665, 0.8335, 0.5000], [0.8335, 0.3335, 0.5000], [0.3335, 0.1665, 0.5000], [0.0000, 0.0000, 0.0000], [0.5000, 0.5000, 0.0000]]}

---

{"formula": "Dy2Ho9Tm", "functional": "PBE-GGA", "state": "optimized geometry", "crystal_system": "hexagonal", "e_tot_ev_per_atom": -4.51, "ef_kj_per_mol_fu": 69.4, "volume_a3_per_atom": 30.86, "e_above_lowest_polymorph_ev_per_atom": 0.0377, "cell": [[3.4654, 0.0000, 0.0000], [0.0000, 11.1088, 0.0000], [0.0000, -5.5544, 9.6205]], "species": ["Dy", "Dy", "Ho", "Ho", "Ho", "Ho", "Ho", "Ho", "Ho", "Ho", "Ho", "Tm"], "fractional_positions": [[0.0000, 0.3333, 0.6667], [0.0000, 0.6667, 0.3333], [0.0000, 0.0000, 0.5000], [0.0000, 0.5000, 0.5000], [0.0000, 0.5000, 0.0000], [0.5000, 0.3507, 0.1754], [0.5000, 0.1754, 0.8246], [0.5000, 0.1754, 0.3507], [0.5000, 0.8246, 0.6493], [0.5000, 0.8246, 0.1754], [0.5000, 0.6493, 0.8246], [0.0000, 0.0000, 0.0000]]}

---

{"formula": "RbTbAgCl5", "functional": "PBE-GGA", "state": "optimized geometry", "crystal_system": "monoclinic", "e_tot_ev_per_atom": -3.98, "raw_formation_energy_ev_per_atom": -1.769, "volume_a3_per_atom": 33.27, "cell": [[7.6930, -0.1491, -0.0074], [-2.3883, 7.3144, -0.0074], [-2.2012, -2.9732, 9.5261]], "species": ["Rb", "Rb", "Tb", "Tb", "Ag", "Ag", "Cl", "Cl", "Cl", "Cl", "Cl", "Cl", "Cl", "Cl", "Cl", "Cl"], "fractional_positions": [[0.3406, 0.6594, 0.2500], [0.6594, 0.3406, 0.7500], [0.0000, 0.0000, 0.5000], [0.0000, 0.0000, 0.0000], [0.6881, 0.3119, 0.2500], [0.3119, 0.6881, 0.7500], [0.0672, 0.9328, 0.2500], [0.9328, 0.0672, 0.7500], [0.9052, 0.2969, 0.0890], [0.0948, 0.7031, 0.9110], [0.7031, 0.0948, 0.4110], [0.2969, 0.9052, 0.5890], [0.7510, 0.6385, 0.4340], [0.2490, 0.3615, 0.5660], [0.3615, 0.2490, 0.0660], [0.6385, 0.7510, 0.9340]]}

---

{"formula": "YAg", "functional": "PBE-GGA", "state": "optimized geometry", "crystal_system": "monoclinic", "e_tot_ev_per_atom": -4.87, "ef_kj_per_mol_fu": -40.9, "volume_a3_per_atom": 24.44, "cell": [[-0.1119, -4.9428, -2.9640], [3.2994, -0.4685, -5.8125], [0.0924, 1.2053, 6.5901]], "species": ["Ag", "Ag", "Y", "Y"], "fractional_positions": [[0.9798, 0.0157, 0.9641], [0.1036, 0.7343, 0.3693], [0.4445, 0.4846, 0.9599], [0.6388, 0.2654, 0.3734]]}

---

{"formula": "Mn2CuTc", "functional": "PBE-GGA", "state": "optimized geometry", "crystal_system": "trigonal", "e_tot_ev_per_atom": -7.95, "ef_kj_per_mol_fu": 96.8, "volume_a3_per_atom": 12.45, "cell": [[8.6175, 0.0042, 0.0025], [8.2231, 2.5770, 0.0025], [8.2231, 1.2604, 2.2477]], "species": ["Cu", "Mn", "Mn", "Tc"], "fractional_positions": [[0.7500, 0.7500, 0.7500], [0.9998, 0.9998, 0.9998], [0.5002, 0.5002, 0.5002], [0.2500, 0.2500, 0.2500]]}

---

{"formula": "KMnAg2I6", "functional": "PBE-GGA", "state": "optimized geometry", "crystal_system": "monoclinic", "e_tot_ev_per_atom": -3.00, "raw_formation_energy_ev_per_atom": -0.477, "volume_a3_per_atom": 43.40, "cell": [[9.1465, 0.2521, 0.2616], [3.2648, 9.8345, 0.8093], [3.2648, 0.4443, 9.8577]], "species": ["K", "K", "Mn", "Mn", "Ag", "Ag", "Ag", "Ag", "I", "I", "I", "I", "I", "I", "I", "I", "I", "I", "I", "I"], "fractional_positions": [[0.2500, 0.8275, 0.1725], [0.7500, 0.1725, 0.8275], [0.2500, 0.1793, 0.8207], [0.7500, 0.8207, 0.1793], [0.3156, 0.7203, 0.6343], [0.1844, 0.3657, 0.2797], [0.6844, 0.2797, 0.3657], [0.8156, 0.6343, 0.7203], [0.1649, 0.9682, 0.8031], [0.3351, 0.1969, 0.0318], [0.8351, 0.0318, 0.1969], [0.6649, 0.8031, 0.9682], [0.4732, 0.8699, 0.3711], [0.0268, 0.6289, 0.1301], [0.5268, 0.1301, 0.6289], [0.9732, 0.3711, 0.8699], [0.0479, 0.7546, 0.5510], [0.4521, 0.4490, 0.2454], [0.9521, 0.2454, 0.4490], [0.5479, 0.5510, 0.7546]]}

---

{"formula": "TlBiAs", "functional": "PBE-GGA", "state": "optimized geometry", "crystal_system": "tetragonal", "e_tot_ev_per_atom": -3.57, "ef_kj_per_mol_fu": 18.5, "volume_a3_per_atom": 29.28, "e_above_lowest_polymorph_ev_per_atom": 0.0203, "cell": [[3.7848, 0.0000, 0.0000], [0.0000, 3.7848, 0.0000], [-1.8924, -1.8924, 6.1315]], "species": ["As", "Tl", "Bi"], "fractional_positions": [[0.6908, 0.6908, 0.3816], [0.0119, 0.0119, 0.0238], [0.2973, 0.2973, 0.5946]]}

---

{"formula": "Rb2PrPbO4", "functional": "PBE-GGA", "state": "optimized geometry", "crystal_system": "monoclinic", "e_tot_ev_per_atom": -5.52, "raw_formation_energy_ev_per_atom": -1.742, "volume_a3_per_atom": 24.35, "cell": [[-0.6188, 0.5269, -6.3354], [-4.6601, -4.3731, 0.0626], [-0.5949, 5.3784, 3.7398]], "species": ["Rb", "Rb", "Pr", "Pb", "O", "O", "O", "O"], "fractional_positions": [[0.4868, 0.9868, 0.9737], [0.2366, 0.2366, 0.4733], [0.9860, 0.4860, 0.9720], [0.7362, 0.7362, 0.4724], [0.6906, 0.6087, 0.7171], [0.8613, 0.4448, 0.2243], [0.3629, 0.7795, 0.2243], [0.0265, 0.1084, 0.7171]]}